Entry from Alexandria via LeMat-Bulk: crystalline Tb8Pr3Tm3 at its relaxed geometry (GGA-PBE).

Its total DFT energy (no corrections) is -4.52 eV/atom. For the density of states at the Fermi level, the calculation gives 43.77 states/eV per cell. As for the energy relative to the elements: 2.40 kcal/mol of atoms.

The space group is Immm (No. 71) and the conventional cell measures 5.6720, 10.8247 and 15.0589 Å, with angles of 90.00, 90.00 and 90.00 degrees. The asymmetric unit holds Tb at (0.0000, 0.1587, 0.1021), Tb at (0.0000, 0.3395, 0.2799), Pr at (0.0000, 0.0000, 0.3180), Pr at (0.0000, 0.5000, 0.0000), Tm at (0.0000, 0.2046, 0.5000) and Tm at (0.0000, 0.5000, 0.5000).



Entry from Alexandria via LeMat-Bulk: crystalline Ag2TeRu at its relaxed geometry (GGA-PBE).

For the uncorrected formation energy, the calculation gives 187 meV per atom. Its total DFT energy (no corrections) is -4.34 eV/atom. For the density of states at the Fermi level, the calculation gives 1.85 states/eV per cell.

The space group is Pm (No. 6) and the conventional cell measures 3.2386, 3.2390 and 7.3604 Å, with angles of 90.00, 90.63 and 90.00 degrees. The asymmetric unit holds Ag at (0.0000, 0.0000, 0.0000), Ag at (0.4948, 0.5000, 0.7728), Te at (0.4838, 0.5000, 0.3356) and Ru at (0.9890, 0.0000, 0.5224).



Entry from Alexandria via LeMat-Bulk: crystalline EuNpHg2 at its relaxed geometry (GGA-PBE).

Its total DFT energy (no corrections) is -6.02 eV/atom. For the density of states at the Fermi level, the calculation gives 11.26 states/eV per cell. As for the energy relative to the elements: -1.40 kcal/mol of atoms.

The space group is P4/mmm (No. 123) and the conventional cell measures 5.5568, 5.5568 and 3.5560 Å, with angles of 90.00, 90.00 and 90.00 degrees. The asymmetric unit holds Eu at (0.0000, 0.0000, 0.0000), Np at (0.5000, 0.5000, 0.0000) and Hg at (0.0000, 0.5000, 0.5000).



Entry from Alexandria via LeMat-Bulk: crystalline TbCeAl2Si at its relaxed geometry (GGA-PBE).

For the uncorrected formation energy, the calculation gives -381 meV per atom. Its total DFT energy (no corrections) is -5.08 eV/atom. For the density of states at the Fermi level, the calculation gives 16.17 states/eV per cell.

The space group is Imm2 (No. 44) and the conventional cell measures 4.3396, 4.3642 and 12.2345 Å, with angles of 90.00, 90.00 and 90.00 degrees. The asymmetric unit holds Tb at (0.0000, 0.0000, 0.0000), Ce at (0.0000, 0.5000, 0.2406), Al at (0.0000, 0.0000, 0.4934), Al at (0.0000, 0.5000, 0.8457) and Si at (0.0000, 0.5000, 0.6463).